[1]
ZrAs2Cl after structural relaxation, computed with PBE-GGA.

```
ZrAs2Cl
1.0
-3.943 -1.072 3.767
4.707 -2.882 -0.654
1.466 1.930 2.079
As Zr Cl
2 1 1
direct
0.000 0.000 0.000
0.500 0.500 0.000
0.000 0.500 0.500
0.500 0.000 0.500
```

DOS(E_F) = 1.19 states/eV/cell
M_tot = 0.00 Bohr magnetons per cell
symmetry = C2/m, No. 12
V = 20.1 A^3/atom
raw total energy = -21.050 eV/cell

[2]
ZrTa2H after structural relaxation, computed with PBE-GGA.

```
ZrTa2H
1.0
1.061 -3.728 2.414
-2.971 -1.677 3.036
-2.138 -3.948 -0.838
H Zr Ta
1 1 2
direct
0.000 0.000 0.000
0.500 0.500 0.500
0.250 0.250 0.250
0.750 0.750 0.750
```

DOS(E_F) = 4.27 states/eV/cell
M_tot = 0.00 Bohr magnetons per cell
symmetry = Fm-3m, No. 225
V = 16.8 A^3/atom
raw total energy = -31.105 eV/cell

[3]
CaCrSb2Te after structural relaxation, computed with PBE-GGA.

```
CaCrSb2Te
1.0
4.964 0.000 0.000
0.000 4.964 0.000
0.000 0.000 6.054
Sb Ca Te Cr
2 1 1 1
direct
0.000 0.500 0.000
0.500 0.000 0.000
0.500 0.500 0.500
0.000 0.000 0.500
0.000 0.000 0.000
```

DOS(E_F) = 2.00 states/eV/cell
M_tot = 1.78 Bohr magnetons per cell
symmetry = P4/mmm, No. 123
V = 29.8 A^3/atom
raw total energy = -23.529 eV/cell

[4]
LiNdSiAg after structural relaxation, computed with PBE-GGA.

```
LiNdSiAg
1.0
-4.524 1.781 0.771
-3.930 -2.471 -1.637
-3.012 -2.229 3.192
Si Nd Ag Li
1 1 1 1
direct
0.750 0.750 0.750
0.500 0.500 0.500
0.250 0.250 0.250
0.000 0.000 0.000
```

DOS(E_F) = 1.70 states/eV/cell
M_tot = 0.00 Bohr magnetons per cell
symmetry = F-43m, No. 216
V = 21.1 A^3/atom
raw total energy = -16.204 eV/cell

[5]
SmPa2FeN5 after structural relaxation, computed with PBE-GGA.

```
SmPa2FeN5
1.0
-4.142 -1.607 -4.741
4.629 -3.573 -2.833
-1.882 -1.867 6.730
Sm Pa Fe N
2 4 2 10
direct
0.250 0.250 0.500
0.750 0.750 0.500
0.175 0.325 0.000
0.675 0.175 0.000
0.325 0.825 0.000
0.825 0.675 0.000
0.250 0.750 0.500
0.750 0.250 0.500
0.991 0.491 0.273
0.718 0.218 0.727
0.009 0.509 0.727
0.218 0.009 0.727
0.509 0.718 0.727
0.782 0.991 0.273
0.491 0.282 0.273
0.282 0.782 0.273
0.500 0.500 0.000
0.000 0.000 0.000
```

DOS(E_F) = 11.03 states/eV/cell
M_tot = 0.01 Bohr magnetons per cell
symmetry = I4/mcm, No. 140
V = 13.1 A^3/atom
raw total energy = -169.244 eV/cell

[6]
Tm5Si2As2 after structural relaxation, computed with PBE-GGA.

```
Tm5Si2As2
1.0
7.544 0.000 0.000
0.000 6.670 -3.429
0.000 -0.059 8.088
Tm Si As
10 4 4
direct
0.000 0.000 0.000
0.500 0.500 0.000
0.834 0.804 0.269
0.166 0.465 0.269
0.334 0.965 0.269
0.666 0.304 0.269
0.166 0.196 0.731
0.834 0.535 0.731
0.666 0.035 0.731
0.334 0.696 0.731
0.625 0.875 0.000
0.375 0.125 0.000
0.125 0.625 0.000
0.875 0.375 0.000
0.000 0.202 0.405
0.500 0.702 0.405
0.000 0.798 0.595
0.500 0.298 0.595
```

DOS(E_F) = 12.09 states/eV/cell
M_tot = 0.00 Bohr magnetons per cell
symmetry = Cmce, No. 64
V = 22.5 A^3/atom
raw total energy = -103.908 eV/cell

[7]
Sm3Ni4Ge2 after structural relaxation, computed with PBE-GGA.

```
Sm3Ni4Ge2
1.0
-2.455 2.783 -1.672
3.818 -1.898 -3.811
-6.022 -5.558 -0.410
Sm Ni Ge
3 4 2
direct
0.661 0.322 0.671
0.000 0.000 0.000
0.339 0.678 0.329
0.723 0.445 0.060
0.277 0.555 0.940
0.944 0.889 0.610
0.056 0.111 0.390
0.615 0.230 0.283
0.385 0.770 0.717
```

DOS(E_F) = 8.01 states/eV/cell
energy of formation from the pure elements = -0.5673 eV per atom
M_tot = 0.00 Bohr magnetons per cell
symmetry = C2/m, No. 12
V = 19.2 A^3/atom
raw total energy = -51.624 eV/cell

[8]
SeSO2 after structural relaxation, computed with PBE-GGA.

```
SeSO2
1.0
-3.458 -1.862 -0.958
-3.525 1.928 0.446
-2.090 1.169 -3.257
S O Se
1 2 1
direct
0.000 0.000 0.000
0.250 0.250 0.250
0.750 0.750 0.750
0.500 0.500 0.500
```

DOS(E_F) = 2.20 states/eV/cell
M_tot = 0.00 Bohr magnetons per cell
symmetry = Fm-3m, No. 225
V = 11.7 A^3/atom
raw total energy = -13.504 eV/cell

[9]
YCu3Ge3 after structural relaxation, computed with PBE-GGA.

```
YCu3Ge3
1.0
-2.346 0.710 -6.108
-2.043 -6.256 0.057
-5.800 1.916 2.451
Y Ge Cu
2 6 6
direct
0.500 0.500 0.500
0.000 0.000 0.000
0.000 0.250 0.500
0.000 0.750 0.500
0.500 0.000 0.750
0.750 0.500 0.000
0.500 0.000 0.250
0.250 0.500 0.000
0.250 0.000 0.500
0.000 0.500 0.250
0.500 0.750 0.000
0.750 0.000 0.500
0.000 0.500 0.750
0.500 0.250 0.000
```

DOS(E_F) = 7.24 states/eV/cell
energy of formation from the pure elements = 0.1337 eV per atom
M_tot = 0.00 Bohr magnetons per cell
symmetry = Pm-3n, No. 223
V = 20.4 A^3/atom
raw total energy = -63.338 eV/cell

[10]
KBeOs2 after structural relaxation, computed with PBE-GGA.

```
KBeOs2
1.0
4.461 0.032 0.000
-0.025 4.461 0.000
-2.218 -2.247 3.150
Be K Os
1 1 2
direct
0.500 0.500 0.000
0.750 0.250 0.500
0.000 0.000 0.000
0.250 0.750 0.500
```

DOS(E_F) = 3.19 states/eV/cell
energy of formation from the pure elements = 1.4213 eV per atom
M_tot = 0.00 Bohr magnetons per cell
symmetry = F222, No. 22
V = 15.7 A^3/atom
raw total energy = -21.598 eV/cell

[11]
Cs5Sn2Te4 after structural relaxation, computed with PBE-GGA.

```
Cs5Sn2Te4
1.0
5.931 0.000 0.000
0.000 10.485 0.792
-2.966 -1.601 9.100
Cs Sn Te
5 2 4
direct
0.159 0.974 0.318
0.841 0.026 0.682
0.155 0.518 0.311
0.500 0.000 0.000
0.845 0.482 0.689
0.512 0.655 0.024
0.488 0.345 0.976
0.669 0.744 0.339
0.982 0.758 0.963
0.331 0.256 0.661
0.018 0.242 0.037
```

DOS(E_F) = 0.15 states/eV/cell
M_tot = 0.00 Bohr magnetons per cell
symmetry = C2/m, No. 12
V = 52.1 A^3/atom
raw total energy = -33.160 eV/cell

[12]
Ac2CeSmO6 after structural relaxation, computed with PBE-GGA.

```
Ac2CeSmO6
1.0
6.151 0.000 -0.021
0.000 6.347 0.000
0.025 0.000 8.951
Ac Ce Sm O
4 2 2 12
direct
0.017 0.952 0.248
0.517 0.548 0.748
0.983 0.048 0.752
0.483 0.452 0.252
0.500 0.000 0.500
0.000 0.500 0.000
0.500 0.000 0.000
0.000 0.500 0.500
0.304 0.700 0.075
0.804 0.800 0.575
0.696 0.300 0.925
0.196 0.200 0.425
0.304 0.695 0.430
0.804 0.805 0.930
0.696 0.305 0.570
0.196 0.195 0.070
0.867 0.565 0.253
0.367 0.935 0.753
0.133 0.435 0.747
0.633 0.065 0.247
```

DOS(E_F) = 7.14 states/eV/cell
M_tot = 1.98 Bohr magnetons per cell
symmetry = P2_1/c, No. 14
V = 17.5 A^3/atom
raw total energy = -163.355 eV/cell

[13]
ScTeAs after structural relaxation, computed with PBE-GGA.

```
ScTeAs
1.0
5.748 -0.057 0.000
3.394 4.639 0.000
-4.571 -2.291 2.626
As Sc Te
1 1 1
direct
0.954 0.954 0.000
0.359 0.359 0.000
0.686 0.686 0.000
```

DOS(E_F) = 1.84 states/eV/cell
M_tot = 0.00 Bohr magnetons per cell
symmetry = I4mm, No. 107
V = 23.5 A^3/atom
raw total energy = -16.292 eV/cell

[14]
Cd2HAu after structural relaxation, computed with PBE-GGA.

```
Cd2HAu
1.0
3.966 -2.016 1.391
1.313 0.274 4.464
-0.138 -3.792 2.707
H Au Cd
1 1 2
direct
0.000 0.000 0.000
0.500 0.500 0.500
0.250 0.250 0.250
0.750 0.750 0.750
```

DOS(E_F) = 1.50 states/eV/cell
M_tot = 0.00 Bohr magnetons per cell
symmetry = Fm-3m, No. 225
V = 17.9 A^3/atom
raw total energy = -7.162 eV/cell

[15]
Y2Al2Ru5W after structural relaxation, computed with PBE-GGA.

```
Y2Al2Ru5W
1.0
3.246 0.000 0.000
0.000 10.159 0.000
0.000 0.000 10.159
Y Al Ru W
4 4 10 2
direct
0.000 0.672 0.172
0.000 0.328 0.828
0.000 0.172 0.328
0.000 0.828 0.672
0.000 0.127 0.627
0.000 0.873 0.373
0.000 0.627 0.873
0.000 0.373 0.127
0.500 0.197 0.065
0.500 0.803 0.935
0.500 0.065 0.803
0.500 0.697 0.435
0.500 0.935 0.197
0.500 0.303 0.565
0.500 0.565 0.697
0.500 0.435 0.303
0.500 0.500 0.000
0.500 0.000 0.500
0.000 0.000 0.000
0.000 0.500 0.500
```

DOS(E_F) = 11.97 states/eV/cell
energy of formation from the pure elements = -0.3753 eV per atom
M_tot = 0.00 Bohr magnetons per cell
symmetry = P4/mbm, No. 127
V = 16.7 A^3/atom
raw total energy = -166.996 eV/cell

[16]
La3Nd2Tm5 after structural relaxation, computed with PBE-GGA.

```
La3Nd2Tm5
1.0
1.034 0.661 -9.167
8.813 -1.488 -2.347
-6.506 -7.748 4.990
La Nd Tm
6 4 10
direct
0.234 0.984 0.968
0.766 0.016 0.032
0.728 0.474 0.250
0.272 0.526 0.750
0.022 0.776 0.250
0.978 0.224 0.750
0.765 0.012 0.735
0.235 0.988 0.265
0.470 0.723 0.735
0.530 0.277 0.265
0.275 0.525 0.049
0.725 0.475 0.951
0.025 0.775 0.551
0.529 0.279 0.559
0.975 0.225 0.449
0.471 0.721 0.441
0.856 0.603 0.724
0.144 0.397 0.276
0.368 0.121 0.724
0.632 0.879 0.276
```

DOS(E_F) = 27.35 states/eV/cell
energy of formation from the pure elements = 0.1740 eV per atom
M_tot = 0.00 Bohr magnetons per cell
symmetry = C2/c, No. 15
V = 33.5 A^3/atom
raw total energy = -89.871 eV/cell

[17]
SiBiP after structural relaxation, computed with PBE-GGA.

```
SiBiP
1.0
7.407 0.000 0.014
0.000 3.463 0.000
-7.093 0.000 6.099
P Si Bi
2 2 2
direct
0.277 0.240 0.297
0.777 0.760 0.797
0.577 0.739 0.457
0.077 0.261 0.957
0.426 0.311 0.935
0.926 0.689 0.435
```

DOS(E_F) = 0.93 states/eV/cell
M_tot = 0.00 Bohr magnetons per cell
symmetry = Pc, No. 7
V = 26.1 A^3/atom
raw total energy = -29.751 eV/cell

[18]
NdPuSe3 after structural relaxation, computed with PBE-GGA.

```
NdPuSe3
1.0
4.167 0.000 0.000
0.000 7.763 0.000
0.000 0.000 16.147
Nd Pu Se
4 4 12
direct
0.750 0.866 0.796
0.250 0.134 0.204
0.750 0.366 0.704
0.250 0.634 0.296
0.250 0.270 0.960
0.250 0.770 0.540
0.750 0.230 0.460
0.750 0.730 0.040
0.250 0.375 0.565
0.750 0.846 0.216
0.750 0.492 0.893
0.750 0.992 0.607
0.750 0.625 0.435
0.250 0.008 0.393
0.250 0.875 0.935
0.750 0.346 0.284
0.250 0.654 0.716
0.250 0.154 0.784
0.750 0.125 0.065
0.250 0.508 0.107
```

DOS(E_F) = 39.44 states/eV/cell
M_tot = 19.98 Bohr magnetons per cell
symmetry = Pnma, No. 62
V = 26.1 A^3/atom
raw total energy = -151.849 eV/cell

[19]
Mg5Sn2PdAu2 after structural relaxation, computed with PBE-GGA.

```
Mg5Sn2PdAu2
1.0
3.195 0.000 0.000
0.000 11.411 0.000
0.000 0.000 11.411
Mg Sn Pd Au
10 4 2 4
direct
0.500 0.194 0.036
0.500 0.806 0.964
0.500 0.036 0.806
0.500 0.694 0.464
0.500 0.964 0.194
0.500 0.306 0.536
0.500 0.536 0.694
0.500 0.464 0.306
0.500 0.500 0.000
0.500 0.000 0.500
0.000 0.683 0.183
0.000 0.317 0.817
0.000 0.183 0.317
0.000 0.817 0.683
0.000 0.000 0.000
0.000 0.500 0.500
0.000 0.137 0.637
0.000 0.863 0.363
0.000 0.637 0.863
0.000 0.363 0.137
```

DOS(E_F) = 7.47 states/eV/cell
energy of formation from the pure elements = -0.4100 eV per atom
M_tot = 0.00 Bohr magnetons per cell
symmetry = P4/mbm, No. 127
V = 20.8 A^3/atom
raw total energy = -63.652 eV/cell

[20]
AcGd2Sn after structural relaxation, computed with PBE-GGA.

```
AcGd2Sn
1.0
-2.434 -3.838 -1.962
1.076 -2.768 4.079
-4.260 1.579 2.195
Ac Gd Sn
1 2 1
direct
0.500 0.500 0.500
0.000 0.000 0.500
0.000 0.500 0.000
0.500 0.000 0.000
```

DOS(E_F) = 4.16 states/eV/cell
energy of formation from the pure elements = -0.3825 eV per atom
M_tot = 15.10 Bohr magnetons per cell
symmetry = P4/mmm, No. 123
V = 31.5 A^3/atom
raw total energy = -37.803 eV/cell